The following is a DFT calculation (PBE) of a geometry-optimized RbYNi2Sb structure. Values from VASP.

Structure (Quantum ESPRESSO input):
```
&SYSTEM
  ibrav = 0, nat = 5, ntyp = 4
/
ATOMIC_SPECIES
Ni 58.69 Ni.upf
Y 88.91 Y.upf
Sb 121.76 Sb.upf
Rb 85.47 Rb.upf
CELL_PARAMETERS angstrom
4.6295 0.0000 0.0000
0.0000 6.2899 0.0000
0.0000 0.0000 4.6295
ATOMIC_POSITIONS crystal
Ni 0.0000 0.0000 0.5000
Ni 0.5000 0.0000 0.0000
Y 0.5000 0.5000 0.5000
Sb 0.0000 0.5000 0.0000
Rb 0.0000 0.0000 0.0000
```

Summary:
The space group is P4/mmm (123).

***

The following is a DFT calculation (PBE) of a geometry-optimized HfSnIN2 structure. Values from VASP.

Structure (Quantum ESPRESSO input):
```
&SYSTEM
  ibrav = 0, nat = 5, ntyp = 4
/
ATOMIC_SPECIES
N 14.01 N.upf
I 126.90 I.upf
Sn 118.71 Sn.upf
Hf 178.49 Hf.upf
CELL_PARAMETERS angstrom
4.3112 0.0000 0.0000
0.0000 4.3112 0.0000
0.0000 0.0000 5.7608
ATOMIC_POSITIONS crystal
N 0.0000 0.5000 0.0000
N 0.5000 0.0000 0.0000
I 0.0000 0.0000 0.5000
Sn 0.5000 0.5000 0.5000
Hf 0.0000 0.0000 0.0000
```

Summary:
The space group is P4/mmm (123). The value obtained for the offset from the most stable computed form is 0.0 meV/atom.

***

What are the energy relative to the elements, uncorrected values for these records? In order: 1.251, 0.347 eV/atom.
What are the E values for these records? In order: -3.37, -6.08 eV per atom.